(1)
VASP calculation (PBE) on a relaxed BeVGe2W crystal.

Summary:
total DFT energy (no corrections)	-5.6972	eV/atom
magnetization	0.0	μB per formula unit
formation enthalpy at 0 K	1.309	eV per atom

```
data_BeVGe2W
_chemical_formula_sum 'Be1 V1 Ge2 W1'
_symmetry_space_group_name_H-M 'P 1'
_symmetry_Int_Tables_number 1
_symmetry_space_group_name_Hall 'P 1'
_cell_length_a 4.6285
_cell_length_b 4.6014
_cell_length_c 4.6285
_cell_angle_alpha 90.00
_cell_angle_beta 90.00
_cell_angle_gamma 90.00
loop_
_atom_site_label
_atom_site_fract_x
_atom_site_fract_y
_atom_site_fract_z
Be1 0.5000 0.5000 0.5000
Ge1 0.0000 0.0000 0.5000
Ge2 0.5000 0.0000 0.0000
W1 0.0000 0.5000 0.0000
V1 0.0000 0.0000 0.0000
```

(2)
VASP calculation (PBE) on a relaxed Be3GeW crystal.

Summary:
total DFT energy (no corrections)	-4.3483	eV/atom
offset from the most stable computed form	0.000	eV/atom
magnetization	0.0	μB per formula unit
formation enthalpy at 0 K	1.401	eV per atom

```
data_Be3GeW
_chemical_formula_sum 'Be3 Ge1 W1'
_symmetry_space_group_name_H-M 'P 1'
_symmetry_Int_Tables_number 1
_symmetry_space_group_name_Hall 'P 1'
_cell_length_a 4.0729
_cell_length_b 4.0729
_cell_length_c 4.0729
_cell_angle_alpha 90.00
_cell_angle_beta 90.00
_cell_angle_gamma 90.00
loop_
_atom_site_label
_atom_site_fract_x
_atom_site_fract_y
_atom_site_fract_z
Be1 0.0000 0.5000 0.0000
Be2 0.0000 0.0000 0.5000
Be3 0.5000 0.0000 0.0000
Ge1 0.0000 0.0000 0.0000
W1 0.5000 0.5000 0.5000
```

(3)
VASP calculation (PBE) on a relaxed BeGe2W crystal.

Summary:
total DFT energy (no corrections)	-5.7786	eV/atom
magnetization	0.0	μB per formula unit
formation enthalpy at 0 K	0.700	eV per atom

```
data_BeGe2W
_chemical_formula_sum 'Be2 Ge4 W2'
_symmetry_space_group_name_H-M 'P 1'
_symmetry_Int_Tables_number 1
_symmetry_space_group_name_Hall 'P 1'
_cell_length_a 6.8581
_cell_length_b 6.8581
_cell_length_c 5.4830
_cell_angle_alpha 51.29
_cell_angle_beta 51.29
_cell_angle_gamma 90.00
loop_
_atom_site_label
_atom_site_fract_x
_atom_site_fract_y
_atom_site_fract_z
Be1 0.5000 0.5000 0.0000
Be2 0.2500 0.7500 0.5000
Ge1 0.5901 0.1250 0.2500
Ge2 0.1599 0.6250 0.2500
Ge3 0.3750 0.4099 0.7500
Ge4 0.8750 0.8401 0.7500
W1 0.0000 0.0000 0.0000
W2 0.7500 0.2500 0.5000
```

(4)
VASP calculation (PBE) on a relaxed Be3GeW crystal.

Summary:
total DFT energy (no corrections)	-4.2961	eV/atom
offset from the most stable computed form	0.052	eV/atom
magnetization	0.0	μB per formula unit
formation enthalpy at 0 K	1.454	eV per atom

```
data_Be3GeW
_chemical_formula_sum 'Be3 Ge1 W1'
_symmetry_space_group_name_H-M 'P 1'
_symmetry_Int_Tables_number 1
_symmetry_space_group_name_Hall 'P 1'
_cell_length_a 4.3988
_cell_length_b 4.3988
_cell_length_c 4.3988
_cell_angle_alpha 90.00
_cell_angle_beta 90.00
_cell_angle_gamma 90.00
loop_
_atom_site_label
_atom_site_fract_x
_atom_site_fract_y
_atom_site_fract_z
Be1 0.0000 0.5000 0.0000
Be2 0.0000 0.0000 0.5000
Be3 0.5000 0.0000 0.0000
Ge1 0.5000 0.5000 0.5000
W1 0.0000 0.0000 0.0000
```

(5)
VASP calculation (PBE) on a relaxed Y2BeGe crystal.

Summary:
total DFT energy (no corrections)	-4.8442	eV/atom
offset from the most stable computed form	0.781	eV/atom
magnetization	0.0	μB per formula unit
formation enthalpy at 0 K	0.474	eV per atom

```
data_Y2BeGe
_chemical_formula_sum 'Y2 Be1 Ge1'
_symmetry_space_group_name_H-M 'P 1'
_symmetry_Int_Tables_number 1
_symmetry_space_group_name_Hall 'P 1'
_cell_length_a 3.5798
_cell_length_b 3.5798
_cell_length_c 10.0681
_cell_angle_alpha 79.76
_cell_angle_beta 79.76
_cell_angle_gamma 60.00
loop_
_atom_site_label
_atom_site_fract_x
_atom_site_fract_y
_atom_site_fract_z
Y1 0.0980 0.0980 0.7060
Y2 0.9020 0.9020 0.2940
Be1 0.0000 0.0000 0.0000
Ge1 0.5000 0.5000 0.5000
```

(6)
VASP calculation (PBE) on a relaxed Y2BeGe3 crystal.

Summary:
total DFT energy (no corrections)	-5.6988	eV/atom
offset from the most stable computed form	0.000	eV/atom
magnetization	0.0	μB per formula unit
formation enthalpy at 0 K	-0.614	eV per atom

```
data_Y2BeGe3
_chemical_formula_sum 'Y4 Be2 Ge6'
_symmetry_space_group_name_H-M 'P 1'
_symmetry_Int_Tables_number 1
_symmetry_space_group_name_Hall 'P 1'
_cell_length_a 5.7372
_cell_length_b 5.7372
_cell_length_c 8.1218
_cell_angle_alpha 110.85
_cell_angle_beta 110.85
_cell_angle_gamma 89.56
loop_
_atom_site_label
_atom_site_fract_x
_atom_site_fract_y
_atom_site_fract_z
Y1 0.7500 0.2500 0.5000
Y2 0.7569 0.2431 0.0000
Y3 0.2500 0.7500 0.5000
Y4 0.2431 0.7569 0.0000
Be1 0.6669 0.6669 0.3338
Be2 0.3331 0.3331 0.6662
Ge1 0.8188 0.8188 0.1755
Ge2 0.6434 0.6434 0.8245
Ge3 0.1812 0.1812 0.8245
Ge4 0.3566 0.3566 0.1755
Ge5 0.1754 0.1754 0.3508
Ge6 0.8246 0.8246 0.6492
```